1.
A plane-wave DFT calculation with PBE was carried out for an optimized crystal structure of TbTl2CuF6.

Summary:
- Final energy: -49.3 eV for the cell shown
- Raw formation energy: -2.46 eV per atom
- Total moment: 0.11 μB/cell

Lattice parameters (Å, degrees): 5.9162 6.3876 6.3876 120.00 90.00 90.00
Closest atoms and distances in Å follow each position.
Atoms (fractional coordinates):
F  0.2559  0.8478  0.1522  1 Tb 2.22, 1 Cu 2.26
F  0.2559  0.8478  0.6956  1 Tb 2.22, 1 Cu 2.26
F  0.7441  0.1522  0.8478  1 Tb 2.22, 1 Cu 2.26
F  0.7441  0.6956  0.8478  1 Tb 2.22, 1 Cu 2.26
F  0.7441  0.1522  0.3044  1 Tb 2.22, 1 Cu 2.26
F  0.2559  0.3044  0.1522  1 Tb 2.22, 1 Cu 2.26
Tl  0.9747  0.6667  0.3333  3 F 2.60
Tl  0.0253  0.3333  0.6667  3 F 2.60
Cu  0.0000  0.0000  0.0000  6 F 2.26
Tb  0.5000  0.0000  0.0000  6 F 2.22

---

2.
A plane-wave DFT calculation with PBE was carried out for an optimized crystal structure of CuTc3F.

Summary:
- Final energy: -32.1 eV for the cell shown
- Raw formation energy: 0.99 eV per atom
- D(E_F): 1.34 states/eV per atom
- Distance to the lowest polymorph of the same formula: 0.000 eV per atom
- Total moment: 1.62 μB/cell

Lattice parameters (Å, degrees): 4.1279 4.1279 4.1279 90.00 90.00 90.00
Closest atoms and distances in Å follow each position.
Atoms (fractional coordinates):
Cu  0.5000  0.5000  0.5000  12 Tc 2.92
F  0.0000  0.0000  0.0000  6 Tc 2.06
Tc  0.5000  0.0000  0.0000  2 F 2.06
Tc  0.0000  0.5000  0.0000  2 F 2.06
Tc  0.0000  0.0000  0.5000  2 F 2.06

---

3.
A plane-wave DFT calculation with PBE was carried out for an optimized crystal structure of Cu2TcF.

Summary:
- Final energy: -38.8 eV for the cell shown
- Raw formation energy: 0.26 eV per atom
- D(E_F): 1.23 states/eV per atom
- Distance to the lowest polymorph of the same formula: 0.000 eV per atom
- Total moment: 5.82 μB/cell

Lattice parameters (Å, degrees): 6.7330 6.7330 5.3075 50.63 50.63 90.00
Closest atoms and distances in Å follow each position.
Atoms (fractional coordinates):
Cu  0.8750  0.8368  0.7500  2 F 2.28, 2 Cu 2.40
Cu  0.1632  0.6250  0.2500  2 F 2.28, 2 Cu 2.40
Cu  0.3750  0.4132  0.7500  2 F 2.28, 2 Cu 2.40
Cu  0.5868  0.1250  0.2500  2 F 2.28, 2 Cu 2.40
F  0.5000  0.5000  0.0000  4 Cu 2.28, 2 Tc 2.35
F  0.2500  0.7500  0.5000  4 Cu 2.28, 2 Tc 2.35
Tc  0.0000  0.0000  0.0000  2 F 2.35
Tc  0.7500  0.2500  0.5000  2 F 2.35

---

4.
A plane-wave DFT calculation with PBE was carried out for an optimized crystal structure of Cu2TcF.

Summary:
- Final energy: -18.6 eV for the cell shown
- Raw formation energy: 0.46 eV per atom
- D(E_F): 0.68 states/eV per atom
- Distance to the lowest polymorph of the same formula: 0.202 eV per atom
- Total moment: 3.18 μB/cell

Lattice parameters (Å, degrees): 4.2463 4.2463 4.2463 60.00 60.00 60.00
Closest atoms and distances in Å follow each position.
Atoms (fractional coordinates):
Cu  0.2500  0.2500  0.2500  4 Tc 2.60, 4 F 2.60
Cu  0.7500  0.7500  0.7500  4 F 2.60, 4 Tc 2.60
F  0.0000  0.0000  0.0000  8 Cu 2.60
Tc  0.5000  0.5000  0.5000  8 Cu 2.60